(1)
DFT (PBE) results for LiTbHoPb after structural relaxation.

a = 5.281 Å, b = 5.281 Å, c = 5.281 Å
α = 60.00°, β = 60.00°, γ = 60.00°
Sites, in units of the cell vectors:
Li: 0.000 0.000 0.000
Tb: 0.750 0.750 0.750
Ho: 0.250 0.250 0.250
Pb: 0.500 0.500 0.500

Computed properties:
The formation energy comes out at -0.26 eV/atom. Its space group is No. 216.

***

(2)
DFT (PBE) results for KPaBeO5 after structural relaxation.

a = 5.999 Å, b = 5.999 Å, c = 8.090 Å
α = 105.63°, β = 105.63°, γ = 105.53°
Sites, in units of the cell vectors:
K: 0.085 0.915 0.750
K: 0.915 0.085 0.250
Pa: 0.000 0.500 0.000
Pa: 0.500 0.000 0.500
Be: 0.450 0.550 0.750
Be: 0.550 0.450 0.250
O: 0.181 0.819 0.250
O: 0.247 0.350 0.123
O: 0.280 0.608 0.872
O: 0.350 0.247 0.623
O: 0.392 0.720 0.628
O: 0.608 0.280 0.372
O: 0.650 0.753 0.377
O: 0.720 0.392 0.128
O: 0.753 0.650 0.877
O: 0.819 0.181 0.750

Computed properties:
The calculation puts the uncorrected formation energy at -2.297 eV/atom. Its space group is No. 15.

***

(3)
DFT (PBE) results for Rb2Sb4Pb5 after structural relaxation.

a = 11.314 Å, b = 8.860 Å, c = 8.560 Å
α = 80.99°, β = 50.66°, γ = 48.35°
Sites, in units of the cell vectors:
Rb: 0.157 0.157 0.843
Rb: 0.843 0.843 0.157
Sb: 0.228 0.496 0.504
Sb: 0.496 0.228 0.772
Sb: 0.504 0.772 0.228
Sb: 0.772 0.504 0.496
Pb: 0.000 0.000 0.500
Pb: 0.250 0.250 0.250
Pb: 0.500 0.500 0.000
Pb: 0.500 0.500 0.500
Pb: 0.750 0.750 0.750

Computed properties:
The calculation puts the uncorrected formation energy at -0.078 eV/atom. Its space group is No. 69.

***

(4)
DFT (PBE) results for CaY2Tc after structural relaxation.

a = 4.901 Å, b = 4.901 Å, c = 4.232 Å
α = 90.00°, β = 90.00°, γ = 90.00°
Sites, in units of the cell vectors:
Ca: 0.000 0.000 0.000
Y: 0.000 0.500 0.500
Y: 0.500 0.000 0.500
Tc: 0.500 0.500 0.000

Computed properties:
The calculation puts the energy above the most stable polymorph in this dataset at 349 meV per atom. The formation energy comes out at 0.36 eV/atom. Its space group is No. 123.